## Y2InRhI (PBE-GGA)

Data for an optimized crystal structure of Y2InRhI.

N(E_F), states/eV/f.u.: 4.18
M_tot, μB per cell: 0.0
Formation energy (no corrections), meV per atom: -495.8
DFT total energy, eV/atom: -5.4094

Lattice parameters (Å, degrees): 5.4056 5.4056 5.1642 90.00 90.00 90.00
Closest atoms and distances in Å follow each position.
Space group P4/mmm (No. 123)
Asymmetric unit:
Y 0.0000 0.5000 0.0000 (multiplicity 2)  2 Rh 2.70
In 0.0000 0.0000 0.5000 (multiplicity 1)  2 Rh 2.58
Rh 0.0000 0.0000 0.0000 (multiplicity 1)  2 In 2.58, 4 Y 2.70
I 0.5000 0.5000 0.5000 (multiplicity 1)  8 Y 3.74, 4 In 3.82